VASP calculation (PBE) on a geometry-optimized ErTm3Ag2 structure.

abc: 3.569 3.569 12.079
angles: 90.00 90.00 90.00
Sites, in units of the cell vectors:
Er 0.000 0.000 0.000
Tm 0.500 0.500 0.201
Tm 0.500 0.500 0.500
Tm 0.500 0.500 0.799
Ag 0.000 0.000 0.351
Ag 0.000 0.000 0.649

Output
**Total energy**: -4.156 eV per atom
**Energy above the lowest structure with this stoichiometry**: 0.00 eV per formula unit
**SG**: P4/mmm, No. 123
**Formation energy**: -0.2092 eV per atom

---

VASP calculation (PBE) on a geometry-optimized La2ThGe structure.

abc: 4.817 4.817 4.943
angles: 90.00 90.00 90.00
Sites, in units of the cell vectors:
La 0.000 0.500 0.000
La 0.500 0.000 0.000
Th 0.000 0.000 0.500
Ge 0.500 0.500 0.500

Output
**Total energy**: -5.787 eV per atom
**Energy above the lowest structure with this stoichiometry**: 0.02 eV per formula unit
**SG**: P4/mmm, No. 123
**Formation energy**: -0.3144 eV per atom

---

VASP calculation (PBE) on a geometry-optimized BaZnInPt3 structure.

abc: 8.152 8.152 5.992
angles: 90.00 90.00 129.33
Sites, in units of the cell vectors:
Ba 0.215 0.785 0.750
Ba 0.785 0.215 0.250
Zn 0.104 0.896 0.250
Zn 0.896 0.104 0.750
In 0.452 0.548 0.250
In 0.548 0.452 0.750
Pt 0.198 0.198 0.000
Pt 0.198 0.198 0.500
Pt 0.271 0.729 0.250
Pt 0.729 0.271 0.750
Pt 0.802 0.802 0.000
Pt 0.802 0.802 0.500

Output
**Total energy**: -4.441 eV per atom
**SG**: Cmcm, No. 63
**Formation energy**: -0.4313 eV per atom

---

VASP calculation (PBE) on a geometry-optimized Li3B4C4 structure.

abc: 8.569 5.455 7.649
angles: 79.75 38.79 61.46
Sites, in units of the cell vectors:
Li 0.125 0.875 0.125
Li 0.126 0.375 0.124
Li 0.375 0.126 0.376
Li 0.624 0.876 0.625
Li 0.875 0.125 0.875
Li 0.876 0.624 0.874
B 0.336 0.336 0.664
B 0.336 0.829 0.664
B 0.417 0.417 0.083
B 0.419 0.911 0.089
B 0.829 0.336 0.171
B 0.833 0.833 0.167
B 0.911 0.419 0.581
B 0.917 0.917 0.583
C 0.078 0.587 0.413
C 0.083 0.083 0.417
C 0.166 0.667 0.834
C 0.167 0.167 0.833
C 0.583 0.583 0.917
C 0.587 0.078 0.922
C 0.667 0.166 0.333
C 0.667 0.667 0.333

Output
**Total energy**: -6.534 eV per atom
**Energy above the lowest structure with this stoichiometry**: 0.13 eV per formula unit
**SG**: Fmm2, No. 42
**Formation energy**: -0.2295 eV per atom

---

Copy entry 4 word for word.
VASP calculation (PBE) on a geometry-optimized Li3B4C4 structure.

abc: 8.569 5.455 7.649
angles: 79.75 38.79 61.46
Sites, in units of the cell vectors:
Li 0.125 0.875 0.125
Li 0.126 0.375 0.124
Li 0.375 0.126 0.376
Li 0.624 0.876 0.625
Li 0.875 0.125 0.875
Li 0.876 0.624 0.874
B 0.336 0.336 0.664
B 0.336 0.829 0.664
B 0.417 0.417 0.083
B 0.419 0.911 0.089
B 0.829 0.336 0.171
B 0.833 0.833 0.167
B 0.911 0.419 0.581
B 0.917 0.917 0.583
C 0.078 0.587 0.413
C 0.083 0.083 0.417
C 0.166 0.667 0.834
C 0.167 0.167 0.833
C 0.583 0.583 0.917
C 0.587 0.078 0.922
C 0.667 0.166 0.333
C 0.667 0.667 0.333

Output
**Total energy**: -6.534 eV per atom
**Energy above the lowest structure with this stoichiometry**: 0.13 eV per formula unit
**SG**: Fmm2, No. 42
**Formation energy**: -0.2295 eV per atom

---

- Number 3 is which compound?
  BaZnInPt3

---

- What is the formula in the second record?
  La2ThGe